No. 1
Computed, not measured: a relaxed BaSr4U3O14 crystal at the PBE level of DFT.

## Properties
**Space group**: Cmce, No. 64
**Uncorrected energy**: -364.4 eV/cell
**M_tot**: 0.00 μB/atom

abc: 8.118 8.118 11.106
angles: 90.00 90.00 90.03
Element x y z (fractional)
Ba: 0.500 0.500 0.000
Ba: 0.000 0.000 0.500
O: 0.468 0.185 0.124
O: 0.315 0.032 0.624
O: 0.967 0.308 0.383
O: 0.533 0.192 0.883
O: 0.006 0.754 0.073
O: 0.185 0.468 0.124
O: 0.692 0.033 0.617
O: 0.436 0.436 0.664
O: 0.685 0.968 0.376
O: 0.032 0.315 0.624
O: 0.815 0.532 0.876
O: 0.064 0.064 0.164
O: 0.994 0.246 0.927
O: 0.192 0.533 0.883
O: 0.254 0.506 0.427
O: 0.754 0.006 0.073
O: 0.494 0.746 0.573
O: 0.033 0.692 0.617
O: 0.968 0.685 0.376
O: 0.746 0.494 0.573
O: 0.246 0.994 0.927
O: 0.467 0.808 0.117
O: 0.564 0.564 0.336
O: 0.506 0.254 0.427
O: 0.532 0.815 0.876
O: 0.808 0.467 0.117
O: 0.936 0.936 0.836
O: 0.308 0.967 0.383
Sr: 0.249 0.249 0.775
Sr: 0.271 0.771 0.750
Sr: 0.229 0.729 0.250
Sr: 0.771 0.271 0.750
Sr: 0.751 0.751 0.225
Sr: 0.749 0.749 0.725
Sr: 0.729 0.229 0.250
Sr: 0.251 0.251 0.275
U: 0.500 0.500 0.500
U: 0.000 0.500 0.000
U: 0.500 0.000 0.000
U: 0.000 0.000 0.000
U: 0.000 0.500 0.500
U: 0.500 0.000 0.500

---

No. 2
Computed, not measured: a relaxed BaScZn2 crystal at the PBE level of DFT.

## Properties
**Space group**: I4_1/amd, No. 141
**Calculated formation energy**: 0.223 eV per atom
**M_tot**: 0.00 μB/atom
**Excess energy over the best structure of this formula in the dataset**: 0.410 eV/atom

abc: 5.108 5.108 10.488
angles: 75.91 75.91 90.00
Element x y z (fractional)
Sc: 0.250 0.750 0.500
Sc: 0.500 0.500 0.000
Zn: 0.376 0.625 0.250
Zn: 0.375 0.626 0.750
Zn: 0.875 0.624 0.750
Zn: 0.374 0.125 0.250
Ba: 0.750 0.250 0.500
Ba: 0.000 0.000 0.000

---

No. 3
Computed, not measured: a relaxed BeTcCl2 crystal at the PBE level of DFT.

## Properties
**Space group**: Pmmm, No. 47
**M_tot**: 0.51 μB/atom
**Excess energy over the best structure of this formula in the dataset**: 0.851 eV/atom

abc: 2.973 5.476 4.013
angles: 90.00 90.00 90.00
Element x y z (fractional)
Be: 0.000 0.500 0.500
Tc: 0.500 0.000 0.500
Cl: 0.500 0.500 0.000
Cl: 0.000 0.000 0.000

---

No. 4
Computed, not measured: a relaxed CoRuSe2 crystal at the PBE level of DFT.

## Properties
**Space group**: Cm, No. 8
**M_tot**: 0.00 μB/atom
**Excess energy over the best structure of this formula in the dataset**: 0.259 eV/atom

abc: 4.388 4.388 6.164
angles: 94.70 94.70 49.81
Element x y z (fractional)
Se: 0.300 0.300 0.354
Se: 0.966 0.966 0.887
Ru: 0.752 0.752 0.589
Co: 0.483 0.483 0.670

---

No. 5
Computed, not measured: a relaxed Sm5GaSn2 crystal at the PBE level of DFT.

## Properties
**Space group**: I4/mmm, No. 139
**Calculated formation energy**: -0.461 eV per atom
**M_tot**: 0.00 μB/atom

abc: 6.928 6.929 6.754
angles: 120.88 120.87 90.03
Element x y z (fractional)
Sm: 0.722 0.722 0.444
Sm: 0.222 0.222 0.944
Sm: 0.222 0.722 0.944
Sm: 0.722 0.222 0.944
Sm: 0.722 0.722 0.944
Sn: 0.722 0.222 0.444
Sn: 0.222 0.722 0.444
Ga: 0.222 0.222 0.444

---

No. 6
Computed, not measured: a relaxed AcHo5Tm12 crystal at the PBE level of DFT.

## Properties
**Space group**: C2/m, No. 12
**Calculated formation energy**: 0.128 eV per atom
**M_tot**: 0.00 μB/atom

abc: 11.266 10.236 5.864
angles: 90.20 90.36 56.61
Element x y z (fractional)
Tm: 0.499 0.662 0.452
Tm: 0.187 0.000 0.535
Tm: 0.340 0.000 0.036
Tm: 0.660 0.000 0.964
Tm: 0.839 0.662 0.548
Tm: 0.501 0.338 0.548
Tm: 0.813 0.000 0.465
Tm: 0.983 0.666 0.051
Tm: 0.649 0.334 0.051
Tm: 0.161 0.338 0.452
Tm: 0.351 0.666 0.949
Tm: 0.017 0.334 0.949
Ho: 0.500 0.000 0.500
Ho: 0.836 0.328 0.500
Ho: 0.324 0.351 0.000
Ho: 0.164 0.672 0.500
Ho: 0.676 0.649 0.000
Ac: 0.000 0.000 0.000

---

No. 7
Computed, not measured: a relaxed SrGe2As2 crystal at the PBE level of DFT.

## Properties
**Space group**: P4/mbm, No. 127
**Calculated formation energy**: -0.097 eV per atom
**M_tot**: 0.00 μB/atom

abc: 7.809 7.809 3.867
angles: 90.00 90.00 90.00
Element x y z (fractional)
Sr: 0.000 0.000 0.000
Sr: 0.500 0.500 0.000
As: 0.629 0.129 0.000
As: 0.129 0.371 0.000
As: 0.871 0.629 0.000
As: 0.371 0.871 0.000
Ge: 0.359 0.141 0.500
Ge: 0.641 0.859 0.500
Ge: 0.141 0.641 0.500
Ge: 0.859 0.359 0.500

---

No. 8
Computed, not measured: a relaxed La12Pr7Sc crystal at the PBE level of DFT.

## Properties
**Space group**: R-3, No. 148
**Calculated formation energy**: 0.175 eV per atom
**M_tot**: 0.00 μB/atom
**Excess energy over the best structure of this formula in the dataset**: 0.000 eV/atom

abc: 8.953 8.953 8.953
angles: 90.52 90.52 90.52
Element x y z (fractional)
La: 0.276 0.140 0.753
La: 0.852 0.518 0.409
La: 0.753 0.276 0.140
La: 0.482 0.591 0.148
La: 0.148 0.482 0.591
La: 0.724 0.860 0.247
La: 0.860 0.247 0.724
La: 0.591 0.148 0.482
La: 0.518 0.409 0.852
La: 0.409 0.852 0.518
La: 0.247 0.724 0.860
La: 0.140 0.753 0.276
Pr: 0.868 0.619 0.925
Pr: 0.925 0.868 0.619
Pr: 0.619 0.925 0.868
Pr: 0.381 0.075 0.132
Pr: 0.132 0.381 0.075
Pr: 0.075 0.132 0.381
Pr: 0.500 0.500 0.500
Sc: 0.000 0.000 0.000

---

No. 9
Computed, not measured: a relaxed CoAgMo4 crystal at the PBE level of DFT.

## Properties
**Space group**: F-43m, No. 216
**Calculated formation energy**: 0.608 eV per atom
**M_tot**: 0.20 μB/atom

abc: 5.183 5.183 5.183
angles: 60.00 60.00 60.00
Element x y z (fractional)
Ag: 0.750 0.750 0.750
Mo: 0.874 0.375 0.375
Mo: 0.375 0.375 0.874
Mo: 0.375 0.375 0.375
Mo: 0.375 0.874 0.375
Co: 0.000 0.000 0.000

---

No. 10
Computed, not measured: a relaxed PmPaSe4 crystal at the PBE level of DFT.

## Properties
**Space group**: C2/m, No. 12
**M_tot**: 0.00 μB/atom
**Excess energy over the best structure of this formula in the dataset**: 0.000 eV/atom

abc: 4.247 7.288 13.538
angles: 88.33 90.00 90.00
Element x y z (fractional)
Se: 0.000 0.655 0.388
Se: 0.000 0.308 0.112
Se: 0.500 0.155 0.888
Se: 0.500 0.845 0.112
Se: 0.000 0.345 0.612
Se: 0.500 0.192 0.388
Se: 0.000 0.692 0.888
Se: 0.500 0.808 0.612
Pm: 0.500 0.500 0.000
Pm: 0.000 0.000 0.500
Pa: 0.000 0.000 0.000
Pa: 0.500 0.500 0.500